Below is crystalline Sm12ErTm6 at its relaxed geometry, with properties calculated at the PBE-GGA level.

Summary:
- energy of formation from the pure elements (kJ/mol of formula units) = 259.5
- energy relative to the lowest polymorph listed for this composition (meV per atom) = 0
- total magnetic moment (μB per formula unit) = 0.0

Lattice parameters (Å, degrees): 11.9981 11.9981 15.1664 90.00 90.00 120.00
Last column: nearest neighbours and their distance in Å.
Space group R-3 (No. 148, hexagonal axes)
Asymmetric unit:
Sm  0.0044  0.8291  0.1912  4 Sm 3.44-3.60, 4 Tm 3.50-3.69, 1 Er 3.57
Sm  0.0457  0.8494  0.4161  3 Tm 3.31-3.47, 6 Sm 3.32-3.70
Er  0.0000  0.0000  0.0000  6 Tm 3.46, 6 Sm 3.57
Tm  0.0151  0.4275  0.6863  7 Sm 3.31-3.69, 1 Er 3.46, 2 Tm 3.49